P) Computed, not measured: MgCrCo at its PBEsol-relaxed geometry at the SCAN level of DFT.

As for the calculated density: 6.0 Mg/m³.

The space group is P3m1 (No. 156) and the conventional cell measures 4.0682, 4.0682 and 2.6037 Å, with angles of 90.00, 90.00 and 120.00 degrees. The asymmetric unit holds Mg at (0.0000, 0.0000, 0.0000), Cr at (0.6667, 0.3333, 0.5830) and Co at (0.3333, 0.6667, 0.3820).



Q) Computed, not measured: MgCrCo at its PBEsol-relaxed geometry at the SCAN level of DFT.

As for the calculated density: 5.2 Mg/m³.

The space group is F-43m (No. 216) and the conventional cell measures 5.560, 5.560 and 5.560 Å, with angles of 90.00, 90.00 and 90.00 degrees. The asymmetric unit holds Mg at (0.000, 0.000, 0.000), Cr at (0.000, 0.000, 0.500) and Co at (0.250, 0.250, 0.250).



P) is favored, and the nearest alternative lies 0.181 eV/atom above it.